No. 1
VASP calculation (GGA-PBE) on a relaxed TiNi5Ge crystal.

Cell: 5.9748 5.9748 6.1482 Å, 71.63 71.63 89.10°
Positions (direct):
Ti1 0.5246 0.4754 0.2500
Ti2 0.4754 0.5246 0.7500
Ni1 0.5324 0.8573 0.3647
Ni2 0.1703 0.6155 0.4651
Ni3 0.8573 0.5324 0.8647
Ni4 0.8085 0.1915 0.2500
Ni5 0.3845 0.8297 0.0349
Ni6 0.6155 0.1703 0.9651
Ni7 0.1915 0.8085 0.7500
Ni8 0.1427 0.4676 0.1353
Ni9 0.8297 0.3845 0.5349
Ni10 0.4676 0.1427 0.6353
Ge1 0.0000 0.0000 0.0000
Ge2 0.0000 0.0000 0.5000

* calculated volume: 14.06 A^3/atom
* E_form: 0.073 eV per atom
* energy above the most stable polymorph in this dataset: 421 meV/atom

=====

No. 2
VASP calculation (GGA-PBE) on a relaxed CrReOs crystal.

Cell: 4.0443 4.0443 4.0443 Å, 60.00 60.00 60.00°
Positions (direct):
Cr1 0.7500 0.7500 0.7500
Os1 0.0000 0.0000 0.0000
Re1 0.5000 0.5000 0.5000

* calculated volume: 15.59 A^3/atom
* E_form: 0.594 eV per atom
* energy above the most stable polymorph in this dataset: 518 meV/atom

=====

No. 3
VASP calculation (GGA-PBE) on a relaxed ScCrI6 crystal.

Cell: 7.1623 7.1618 7.6073 Å, 61.90 61.90 60.00°
Each line ends with the local moment (μB).
Positions (direct):
Sc1 0.5000 0.5000 0.5000  0.04
Cr1 0.0000 0.0000 0.0000  3.05
I1 0.0888 0.3967 0.7544  -0.05
I2 0.7602 0.0888 0.7544  -0.05
I3 0.6033 0.2398 0.2457  -0.05
I4 0.2398 0.9112 0.2456  -0.05
I5 0.9112 0.6033 0.2456  -0.05
I6 0.3967 0.7602 0.7543  -0.05

* calculated volume: 35.45 A^3/atom
* uncorrected formation energy: -0.693 eV/atom
* energy above the most stable polymorph in this dataset: 118 meV/atom